[1]
6
Lattice="-3.959 2.104 1.588 -4.111 -4.224 2.471 0.059 0.693 6.353" Properties=species:S:1:pos:R:3 comment="PBE PrSmIn4, optimized geometry" de_polymorph_kcal_per_mol_atoms=0.00 ef_mev_per_atom=-468.7 mass_density_g_cm3=7.6 spacegroup="No. 44" pbc="T T T"
Pr -1.985 0.736 1.200
Sm -4.000 -0.383 4.782
In -3.234 -2.313 2.125
In -6.846 -1.560 6.370
In -5.153 0.436 7.945
In -0.788 0.571 4.402

---

[2]
8
Lattice="3.595 0.000 0.000 0.000 8.851 -1.054 -1.798 -3.506 8.236" Properties=species:S:1:pos:R:3 comment="PBE PrSm4In3, optimized geometry" de_polymorph_kcal_per_mol_atoms=2.77 ef_mev_per_atom=-242.0 mass_density_g_cm3=7.3 spacegroup="No. 71" pbc="T T T"
Pr 1.798 0.000 0.000
Sm 0.000 2.404 5.357
Sm 1.798 2.942 1.824
Sm 1.798 6.421 1.409
Sm 0.000 -1.075 5.773
In 0.000 4.426 -0.527
In 0.000 0.341 2.859
In 1.798 5.005 4.323